This record from Alexandria via LeMat-Bulk describes BeZn2Au6 after structural relaxation. The functional is PBE.

Unit cell a=7.092 b=7.092 c=4.016 alpha=106.30 beta=106.30 gamma=59.07
Positions (direct):
Be 0.000 0.000 0.000
Zn 0.355 0.355 0.354
Zn 0.645 0.645 0.646
Au 0.060 0.607 0.834
Au 0.206 0.794 0.500
Au 0.393 0.940 0.166
Au 0.607 0.060 0.834
Au 0.794 0.206 0.500
Au 0.940 0.393 0.166

## Properties
E: -2.98 eV/atom
DFT formation energy: -0.101 eV/atom
Symmetry: C2/m, No. 12